Entry 1:
## LaSc2H2 (GGA-PBEsol)

Data for crystalline LaSc2H2 at its relaxed geometry.

CIF file:
```
data_LaSc2H2
_chemical_formula_sum 'La2 Sc4 H4'
_cell_length_a 4.158
_cell_length_b 4.158
_cell_length_c 11.234
_cell_angle_alpha 90.00
_cell_angle_beta 90.00
_cell_angle_gamma 90.00
_space_group_name_H-M_alt 'I 4/m m m'
_space_group_IT_number 139
_space_group_name_Hall '-I 4 2'
loop_
_atom_site_label
_atom_site_type_symbol
_atom_site_fract_x
_atom_site_fract_y
_atom_site_fract_z
La1 La 0.000 0.000 0.000
Sc1 Sc 0.000 0.500 0.250
H1 H 0.000 0.000 0.212
```

Calculated values
E ... -50.870 eV for the cell shown

***

Entry 2:
## ReBiSeBr2 (GGA-PBEsol)

Data for crystalline ReBiSeBr2 at its relaxed geometry.

CIF file:
```
data_ReBiSeBr2
_chemical_formula_sum 'Re1 Bi1 Se1 Br2'
_cell_length_a 5.595
_cell_length_b 5.595
_cell_length_c 5.530
_cell_angle_alpha 90.00
_cell_angle_beta 90.00
_cell_angle_gamma 90.00
_space_group_name_H-M_alt 'P 4/m m m'
_space_group_IT_number 123
_space_group_name_Hall '-P 4 2'
loop_
_atom_site_label
_atom_site_type_symbol
_atom_site_fract_x
_atom_site_fract_y
_atom_site_fract_z
Re1 Re 0.000 0.000 0.000
Bi1 Bi 0.500 0.500 0.500
Se1 Se 0.500 0.500 0.000
Br1 Br 0.000 0.500 0.500
```

Calculated values
ΔE_f (raw) ... 1.232 eV per atom